# 1
VASP calculation (PBE-GGA) on ZnHg3Ir after structural relaxation.

a = 5.288 Å, b = 5.288 Å, c = 5.288 Å
α = 90.00°, β = 90.00°, γ = 90.00°
Positions (direct):
Zn: 0.500 0.500 0.500
Ir: 0.000 0.000 0.000
Hg: 0.000 0.500 0.000
Hg: 0.000 0.000 0.500
Hg: 0.500 0.000 0.000

Computed properties:
The formation energy comes out at 2.3 eV per formula unit. The space group is Pm-3m, No. 221. The calculation puts the total energy at -1.753 eV per atom.

# 2
VASP calculation (PBE-GGA) on MgSc after structural relaxation.

a = 3.232 Å, b = 3.232 Å, c = 10.608 Å
α = 90.00°, β = 90.00°, γ = 120.00°
Last column: magnetic moment on the atom in μB.
Positions (direct):
Sc: 0.000 0.000 0.504  0.20
Sc: 0.667 0.333 0.746  0.20
Mg: 0.000 0.000 0.000  0.00
Mg: 0.667 0.333 0.250  0.00

Computed properties:
The formation energy comes out at 0.0 eV per formula unit. The space group is P-3m1, No. 164. The calculation puts the total energy at -3.957 eV per atom.